A plane-wave DFT calculation with PBE was carried out for crystalline PaAl2Ir2 at its relaxed geometry.

The space group is P2_1/m (No. 11) and the conventional cell measures 4.198, 4.173 and 10.294 Å, with angles of 90.00, 92.93 and 90.00 degrees. The distinct sites, in fractional coordinates, are Pa at (0.212, 0.250, 0.261), Al at (0.262, 0.750, 0.002), Al at (0.269, 0.250, 0.627), Ir at (0.218, 0.250, 0.860) and Ir at (0.249, 0.750, 0.499).

The volume is 18.0 A^3/atom. The value obtained for the energy is -7.73 eV per atom. The total magnetic moment is 0.05 μB/atom. Its density of states at the Fermi level is 11.3 states/eV/cell. The value obtained for the formation energy is -77 kJ/mol of atoms.